No. 1
DFT (PBE-GGA) results for a geometry-optimized TaTl2Cd structure.

Properties
DFT formation energy   0.592 eV/atom
DFT total energy   -3.784 eV/atom

Cell: 6.160 6.160 6.160 Å, 149.93 127.11 62.05°
Fractional positions:
Ta 0.000 0.000 0.000
Tl 0.240 0.740 0.500
Tl 0.760 0.260 0.500
Cd 0.500 0.500 0.000

---

No. 2
DFT (PBE-GGA) results for a geometry-optimized HoUGe2 structure.

Properties
DFT formation energy   -0.362 eV/atom
DFT total energy   -6.637 eV/atom

Cell: 3.307 3.307 7.958 Å, 90.00 90.00 90.00°
Fractional positions:
Ho 0.000 0.000 0.000
U 0.000 0.000 0.500
Ge 0.500 0.500 0.250
Ge 0.500 0.500 0.750

---

No. 3
DFT (PBE-GGA) results for a geometry-optimized Ga4Bi structure.

Properties
DFT formation energy   0.055 eV/atom
DFT total energy   -3.142 eV/atom

Cell: 8.517 8.517 8.517 Å, 153.94 125.72 61.17°
Fractional positions:
Ga 0.000 0.000 0.000
Ga 0.247 0.184 0.063
Ga 0.326 0.576 0.750
Ga 0.378 0.816 0.563
Ga 0.500 0.000 0.500
Ga 0.622 0.184 0.437
Ga 0.674 0.424 0.250
Ga 0.753 0.816 0.937
Bi 0.120 0.370 0.750
Bi 0.880 0.630 0.250

---

No. 4
DFT (PBE-GGA) results for a geometry-optimized Er4ZnPd structure.

Properties
DFT formation energy   -0.246 eV/atom
DFT total energy   -4.365 eV/atom

Cell: 4.864 4.864 6.908 Å, 90.00 90.00 90.00°
Fractional positions:
Er 0.000 0.500 0.247
Er 0.000 0.500 0.753
Er 0.500 0.000 0.247
Er 0.500 0.000 0.753
Zn 0.000 0.000 0.500
Pd 0.500 0.500 0.000

---

No. 5
DFT (PBE-GGA) results for a geometry-optimized NaI2OF structure.

Properties
Uncorrected formation energy   1.69 eV/f.u.
DFT total energy   -1.912 eV/atom

Cell: 5.708 5.708 4.143 Å, 90.00 90.00 90.00°
Fractional positions:
Na 0.000 0.000 0.000
I 0.000 0.500 0.000
I 0.500 0.000 0.000
O 0.000 0.000 0.500
F 0.500 0.500 0.500

---

No. 6
DFT (PBE-GGA) results for a geometry-optimized K3U2MnS6 structure.

Properties
Uncorrected formation energy   -14.94 eV/f.u.
DFT total energy   -6.229 eV/atom

Cell: 6.905 6.905 7.731 Å, 98.55 98.55 120.01°
Fractional positions:
K 0.000 0.000 0.000
K 0.334 0.666 0.000
K 0.666 0.334 0.000
U 0.167 0.833 0.500
U 0.833 0.167 0.500
Mn 0.500 0.500 0.500
S 0.108 0.434 0.301
S 0.241 0.241 0.698
S 0.434 0.108 0.301
S 0.566 0.892 0.699
S 0.759 0.759 0.302
S 0.892 0.566 0.699

---

No. 7
DFT (PBE-GGA) results for a geometry-optimized Cs3Zn5H12 structure.

Properties
DFT total energy   -2.381 eV/atom

Cell: 11.512 11.512 11.512 Å, 109.47 109.47 109.47°
Fractional positions:
Cs 0.125 0.250 0.375
Cs 0.125 0.375 0.750
Cs 0.250 0.375 0.125
Cs 0.250 0.875 0.625
Cs 0.375 0.125 0.250
Cs 0.375 0.750 0.125
Cs 0.625 0.250 0.875
Cs 0.625 0.875 0.750
Cs 0.750 0.125 0.375
Cs 0.750 0.625 0.875
Cs 0.875 0.625 0.250
Cs 0.875 0.750 0.625
Zn 0.000 0.000 0.000
Zn 0.000 0.000 0.500
Zn 0.000 0.500 0.000
Zn 0.000 0.500 0.500
Zn 0.125 0.750 0.875
Zn 0.125 0.875 0.250
Zn 0.250 0.125 0.875
Zn 0.250 0.625 0.375
Zn 0.375 0.250 0.625
Zn 0.375 0.625 0.750
Zn 0.500 0.000 0.000
Zn 0.500 0.000 0.500
Zn 0.500 0.500 0.000
Zn 0.500 0.500 0.500
Zn 0.625 0.375 0.250
Zn 0.625 0.750 0.375
Zn 0.750 0.375 0.625
Zn 0.750 0.875 0.125
Zn 0.875 0.125 0.750
Zn 0.875 0.250 0.125
H 0.027 0.694 0.115
H 0.027 0.833 0.911
H 0.079 0.667 0.694
H 0.079 0.911 0.385
H 0.089 0.615 0.921
H 0.089 0.973 0.167
H 0.115 0.027 0.694
H 0.115 0.589 0.421
H 0.167 0.089 0.973
H 0.167 0.579 0.194
H 0.194 0.167 0.579
H 0.194 0.527 0.615
H 0.306 0.885 0.973
H 0.306 0.921 0.333
H 0.333 0.306 0.921
H 0.333 0.527 0.411
H 0.385 0.079 0.911
H 0.385 0.806 0.473
H 0.411 0.333 0.527
H 0.411 0.579 0.885
H 0.421 0.115 0.589
H 0.421 0.806 0.833
H 0.473 0.385 0.806
H 0.473 0.589 0.667
H 0.527 0.411 0.333
H 0.527 0.615 0.194
H 0.579 0.194 0.167
H 0.579 0.885 0.411
H 0.589 0.421 0.115
H 0.589 0.667 0.473
H 0.615 0.194 0.527
H 0.615 0.921 0.089
H 0.667 0.473 0.589
H 0.667 0.694 0.079
H 0.694 0.079 0.667
H 0.694 0.115 0.027
H 0.806 0.473 0.385
H 0.806 0.833 0.421
H 0.833 0.421 0.806
H 0.833 0.911 0.027
H 0.885 0.411 0.579
H 0.885 0.973 0.306
H 0.911 0.027 0.833
H 0.911 0.385 0.079
H 0.921 0.089 0.615
H 0.921 0.333 0.306
H 0.973 0.167 0.089
H 0.973 0.306 0.885

---

No. 8
DFT (PBE-GGA) results for a geometry-optimized TeAsSeBr2 structure.

Properties
Uncorrected formation energy   3.14 eV/f.u.
DFT total energy   -2.296 eV/atom

Cell: 5.338 5.338 5.785 Å, 90.00 90.00 90.00°
Fractional positions:
Te 0.000 0.000 0.000
As 0.000 0.000 0.500
Se 0.500 0.500 0.500
Br 0.000 0.500 0.000
Br 0.500 0.000 0.000

---

No. 9
DFT (PBE-GGA) results for a geometry-optimized GdThAgRh structure.

Properties
DFT formation energy   -0.440 eV/atom
DFT total energy   -8.365 eV/atom

Cell: 5.109 5.109 5.109 Å, 60.00 60.00 60.00°
Fractional positions:
Gd 0.000 0.000 0.000
Th 0.500 0.500 0.500
Ag 0.250 0.250 0.250
Rh 0.750 0.750 0.750

---

No. 10
DFT (PBE-GGA) results for a geometry-optimized Sr2Ti2Sb structure.

Properties
Uncorrected formation energy   0.28 eV/f.u.
DFT total energy   -4.599 eV/atom

Cell: 11.096 11.096 11.096 Å, 160.78 160.78 27.32°
Fractional positions:
Sr 0.103 0.103 0.000
Sr 0.897 0.897 0.000
Ti 0.250 0.750 0.500
Ti 0.750 0.250 0.500
Sb 0.500 0.500 0.000

---

No. 11
DFT (PBE-GGA) results for a geometry-optimized TbPrSeO2 structure.

Properties
Uncorrected formation energy   -15.17 eV/f.u.
DFT total energy   -7.595 eV/atom

Cell: 6.674 4.114 7.815 Å, 90.00 107.97 90.00°
Fractional positions:
Tb 0.173 0.250 0.419
Tb 0.827 0.750 0.581
Pr 0.191 0.250 0.928
Pr 0.809 0.750 0.072
Se 0.452 0.750 0.247
Se 0.548 0.250 0.753
O 0.014 0.750 0.387
O 0.016 0.750 0.871
O 0.984 0.250 0.129
O 0.986 0.250 0.613

---

No. 12
DFT (PBE-GGA) results for a geometry-optimized KTl2InHg4 structure.

Properties
DFT formation energy   -0.083 eV/atom
DFT total energy   -1.305 eV/atom

Cell: 9.533 9.533 9.533 Å, 33.45 33.45 33.45°
Fractional positions:
K 0.000 0.000 0.000
Tl 0.257 0.257 0.257
Tl 0.743 0.743 0.743
In 0.500 0.500 0.500
Hg 0.134 0.134 0.134
Hg 0.384 0.384 0.384
Hg 0.616 0.616 0.616
Hg 0.866 0.866 0.866

---

No. 13
DFT (PBE-GGA) results for a geometry-optimized La3Th structure.

Properties
DFT formation energy   0.146 eV/atom
DFT total energy   -5.405 eV/atom

Cell: 11.584 11.584 5.012 Å, 90.00 90.00 154.68°
Fractional positions:
La 0.055 0.945 0.750
La 0.174 0.826 0.250
La 0.331 0.669 0.250
La 0.669 0.331 0.750
La 0.826 0.174 0.750
La 0.945 0.055 0.250
Th 0.443 0.557 0.750
Th 0.557 0.443 0.250

---

No. 14
DFT (PBE-GGA) results for a geometry-optimized ZrAl2Cu structure.

Properties
DFT formation energy   0.162 eV/atom
DFT total energy   -4.870 eV/atom

Cell: 4.559 4.559 7.883 Å, 90.00 90.00 120.00°
Fractional positions:
Zr 0.000 0.000 0.000
Zr 0.000 0.000 0.500
Al 0.333 0.667 0.091
Al 0.333 0.667 0.409
Al 0.667 0.333 0.591
Al 0.667 0.333 0.909
Cu 0.333 0.667 0.750
Cu 0.667 0.333 0.250

---

No. 15
DFT (PBE-GGA) results for a geometry-optimized LiTb2Au3 structure.

Properties
DFT formation energy   -0.710 eV/atom
DFT total energy   -4.211 eV/atom

Cell: 4.908 3.620 7.811 Å, 90.00 108.00 90.00°
Fractional positions:
Li 0.000 0.000 0.000
Tb 0.340 0.000 0.680
Tb 0.660 0.000 0.320
Au 0.172 0.500 0.345
Au 0.500 0.500 0.000
Au 0.828 0.500 0.655

---

No. 16
DFT (PBE-GGA) results for a geometry-optimized PrNdAu3 structure.

Properties
DFT formation energy   -0.770 eV/atom
DFT total energy   -4.645 eV/atom

Cell: 14.417 14.417 4.689 Å, 90.00 90.00 164.96°
Fractional positions:
Pr 0.072 0.928 0.750
Pr 0.928 0.072 0.250
Nd 0.205 0.795 0.250
Nd 0.795 0.205 0.750
Au 0.318 0.682 0.250
Au 0.379 0.621 0.750
Au 0.475 0.525 0.750
Au 0.525 0.475 0.250
Au 0.621 0.379 0.250
Au 0.682 0.318 0.750

---

No. 17
DFT (PBE-GGA) results for a geometry-optimized ZrScZnIn structure.

Properties
DFT formation energy   -0.310 eV/atom
DFT total energy   -5.033 eV/atom

Cell: 4.079 4.485 4.496 Å, 90.00 90.00 90.00°
Fractional positions:
Zr 0.000 0.000 0.000
Sc 0.000 0.500 0.500
Zn 0.500 0.000 0.500
In 0.500 0.500 0.000

---

No. 18
DFT (PBE-GGA) results for a geometry-optimized SnSbH2I structure.

Properties
DFT total energy   -2.745 eV/atom

Cell: 4.099 4.099 9.235 Å, 90.00 90.00 90.00°
Fractional positions:
Sn 0.000 0.000 0.000
Sb 0.500 0.500 0.000
H 0.000 0.500 0.500
H 0.500 0.000 0.500
I 0.500 0.500 0.500

---

No. 19
DFT (PBE-GGA) results for a geometry-optimized Sm3PtRh8 structure.

Properties
DFT formation energy   -0.498 eV/atom
DFT total energy   -7.083 eV/atom

Cell: 9.240 9.240 9.240 Å, 33.53 33.53 33.53°
Fractional positions:
Sm 0.000 0.000 0.000
Sm 0.131 0.131 0.131
Sm 0.518 0.518 0.518
Pt 0.643 0.643 0.643
Rh 0.068 0.567 0.567
Rh 0.070 0.070 0.569
Rh 0.070 0.569 0.070
Rh 0.318 0.318 0.318
Rh 0.567 0.068 0.567
Rh 0.567 0.567 0.068
Rh 0.569 0.070 0.070
Rh 0.819 0.819 0.819

---

No. 20
DFT (PBE-GGA) results for a geometry-optimized BaSrS2 structure.

Properties
Uncorrected formation energy   -5.24 eV/f.u.
DFT total energy   -4.276 eV/atom

Cell: 9.076 9.076 9.076 Å, 29.53 29.53 29.53°
Fractional positions:
Ba 0.000 0.000 0.000
Sr 0.500 0.500 0.500
S 0.109 0.109 0.109
S 0.891 0.891 0.891